# 1
# CrCu2Tc

A relaxed CrCu2Tc crystal (PBEsol, the Alexandria database).

Structure (CIF):
```
data_CrCu2Tc
_chemical_formula_sum 'Cr1 Cu2 Tc1'
_symmetry_space_group_name_H-M 'P 1'
_symmetry_Int_Tables_number 1
_symmetry_space_group_name_Hall 'P 1'
_cell_length_a 2.436
_cell_length_b 4.422
_cell_length_c 4.687
_cell_angle_alpha 95.49
_cell_angle_beta 90.00
_cell_angle_gamma 105.99
loop_
_atom_site_label
_atom_site_fract_x
_atom_site_fract_y
_atom_site_fract_z
_atom_site_occupancy
Tc1 0.506 0.011 0.486 1
Cu1 0.999 0.998 0.986 1
Cu2 0.252 0.505 0.769 1
Cr1 0.743 0.486 0.259 1
```

Computed properties:
Its density of states at the Fermi level is 2.79 states/eV per cell. As for the density: 9.525 g/cm3. Its magnetic moment is 0.00 μB/atom. As for the symmetry: No. 8. Its polymorph energy (0 for the lowest one) is 3 meV/atom. Its formation energy from the elements is 247 meV/atom.

=====

# 2
# CrCu2Tc

A relaxed CrCu2Tc crystal (PBEsol, the Alexandria database).

Structure (CIF):
```
data_CrCu2Tc
_chemical_formula_sum 'Cr1 Cu2 Tc1'
_symmetry_space_group_name_H-M 'P 1'
_symmetry_Int_Tables_number 1
_symmetry_space_group_name_Hall 'P 1'
_cell_length_a 2.572
_cell_length_b 2.572
_cell_length_c 8.651
_cell_angle_alpha 81.45
_cell_angle_beta 81.45
_cell_angle_gamma 60.00
loop_
_atom_site_label
_atom_site_fract_x
_atom_site_fract_y
_atom_site_fract_z
_atom_site_occupancy
Cu1 0.253 0.253 0.241 1
Cu2 0.000 0.000 0.001 1
Cr1 0.749 0.749 0.754 1
Tc1 0.499 0.499 0.504 1
```

Computed properties:
Its density of states at the Fermi level is 3.93 states/eV per cell. As for the density: 9.425 g/cm3. Its magnetic moment is 0.00 μB/atom. As for the symmetry: No. 160. Its polymorph energy (0 for the lowest one) is 0 meV/atom. Its formation energy from the elements is 244 meV/atom.

=====

# 3
# CrCu2Tc

A relaxed CrCu2Tc crystal (PBEsol, the Alexandria database).

Structure (CIF):
```
data_CrCu2Tc
_chemical_formula_sum 'Cr1 Cu2 Tc1'
_symmetry_space_group_name_H-M 'P 1'
_symmetry_Int_Tables_number 1
_symmetry_space_group_name_Hall 'P 1'
_cell_length_a 2.488
_cell_length_b 3.754
_cell_length_c 5.190
_cell_angle_alpha 90.00
_cell_angle_beta 90.00
_cell_angle_gamma 90.00
loop_
_atom_site_label
_atom_site_fract_x
_atom_site_fract_y
_atom_site_fract_z
_atom_site_occupancy
Cr1 0.500 0.500 0.746 1
Tc1 0.000 0.000 0.510 1
Cu1 0.000 0.000 0.009 1
Cu2 0.500 0.500 0.235 1
```

Computed properties:
Its density of states at the Fermi level is 3.67 states/eV per cell. As for the density: 9.493 g/cm3. Its magnetic moment is 0.11 μB/atom. As for the symmetry: No. 25. Its polymorph energy (0 for the lowest one) is 15 meV/atom. Its formation energy from the elements is 259 meV/atom.

=====

# 4
# CrCu2Tc

A relaxed CrCu2Tc crystal (PBEsol, the Alexandria database).

Structure (CIF):
```
data_CrCu2Tc
_chemical_formula_sum 'Cr1 Cu2 Tc1'
_symmetry_space_group_name_H-M 'P 1'
_symmetry_Int_Tables_number 1
_symmetry_space_group_name_Hall 'P 1'
_cell_length_a 3.669
_cell_length_b 3.649
_cell_length_c 4.432
_cell_angle_alpha 114.31
_cell_angle_beta 114.45
_cell_angle_gamma 90.00
loop_
_atom_site_label
_atom_site_fract_x
_atom_site_fract_y
_atom_site_fract_z
_atom_site_occupancy
Cr1 0.250 0.750 0.501 1
Tc1 0.500 0.500 0.999 1
Cu1 0.750 0.250 0.500 1
Cu2 0.000 0.000 0.000 1
```

Computed properties:
Its density of states at the Fermi level is 2.94 states/eV per cell. As for the density: 9.550 g/cm3. Its magnetic moment is 0.18 μB/atom. As for the symmetry: No. 44. Its polymorph energy (0 for the lowest one) is 18 meV/atom. Its formation energy from the elements is 262 meV/atom.

=====

What is the formation energy from the elements in the third record? 259 meV/atom

=====

What did the second record say?
# CrCu2Tc

A relaxed CrCu2Tc crystal (PBEsol, the Alexandria database).

Structure (CIF):
```
data_CrCu2Tc
_chemical_formula_sum 'Cr1 Cu2 Tc1'
_symmetry_space_group_name_H-M 'P 1'
_symmetry_Int_Tables_number 1
_symmetry_space_group_name_Hall 'P 1'
_cell_length_a 2.572
_cell_length_b 2.572
_cell_length_c 8.651
_cell_angle_alpha 81.45
_cell_angle_beta 81.45
_cell_angle_gamma 60.00
loop_
_atom_site_label
_atom_site_fract_x
_atom_site_fract_y
_atom_site_fract_z
_atom_site_occupancy
Cu1 0.253 0.253 0.241 1
Cu2 0.000 0.000 0.001 1
Cr1 0.749 0.749 0.754 1
Tc1 0.499 0.499 0.504 1
```

Computed properties:
Its density of states at the Fermi level is 3.93 states/eV per cell. As for the density: 9.425 g/cm3. Its magnetic moment is 0.00 μB/atom. As for the symmetry: No. 160. Its polymorph energy (0 for the lowest one) is 0 meV/atom. Its formation energy from the elements is 244 meV/atom.

=====

What is the formula in the fourth record? CrCu2Tc